--- P ---
RbCF2: relaxed, GGA-PBE.

Lattice parameters (Å, degrees): 4.0947 4.0947 19.4228 90.00 90.00 120.00
Space group R-3m (No. 166, hexagonal axes)
Asymmetric unit:
Rb: 0.0000 0.0000 0.0000 [3 per cell]
C: 0.0000 0.0000 0.5000 [3 per cell]
F: 0.0000 0.0000 0.4093 [6 per cell]

Density of states at the Fermi level = 0.639 states/eV/atom

--- Q ---
RbCF2: relaxed, GGA-PBE.

Lattice parameters (Å, degrees): 3.8645 3.8645 17.9777 90.00 90.00 120.00
Space group R-3m (No. 166, hexagonal axes)
Asymmetric unit:
Rb: 0.0000 0.0000 0.0000 [3 per cell]
C: 0.0000 0.0000 0.5000 [3 per cell]
F: 0.0000 0.0000 0.1374 [6 per cell]

Density of states at the Fermi level = 0.000 states/eV/atom

--- R ---
RbCF2: relaxed, GGA-PBE.

Lattice parameters (Å, degrees): 5.037 5.037 12.028 90.00 90.00 90.00
Space group I-42d (No. 122)
Asymmetric unit:
Rb: 0.000 0.000 0.000 [4 per cell]
C: 0.000 0.000 0.500 [4 per cell]
F: 0.103 0.250 0.625 [8 per cell]

Density of states at the Fermi level = 0.000 states/eV/atom

Most stable to least stable, the ends of the list are P and Q.

--- P ---
Rb2CF: relaxed, GGA-PBE.

Lattice parameters (Å, degrees): 7.330 7.330 7.330 90.00 90.00 90.00
Space group Fm-3m (No. 225)
Asymmetric unit:
Rb: 0.250 0.250 0.250 [8 per cell]
C: 0.000 0.000 0.000 [4 per cell]
F: 0.000 0.000 0.500 [4 per cell]

Density of states at the Fermi level = 0.000 states/eV/atom

--- Q ---
Rb2CF: relaxed, GGA-PBE.

Lattice parameters (Å, degrees): 7.523 7.523 9.273 90.00 90.00 90.00
Space group I-42d (No. 122)
Asymmetric unit:
Rb: 0.210 0.250 0.125 [8 per cell]
C: 0.000 0.000 0.500 [4 per cell]
F: 0.000 0.000 0.000 [4 per cell]

Density of states at the Fermi level = 0.000 states/eV/atom

Most stable to least stable, the ends of the list are Q and P.

--- P ---
RbC3F: relaxed, GGA-PBE.

Lattice parameters (Å, degrees): 4.445 4.445 4.445 90.00 90.00 90.00
Space group Pm-3m (No. 221)
Asymmetric unit:
Rb: 0.000 0.000 0.000 [1 per cell]
C: 0.000 0.500 0.500 [3 per cell]
F: 0.500 0.500 0.500 [1 per cell]

Density of states at the Fermi level = 0.774 states/eV/atom

--- Q ---
RbC3F: relaxed, GGA-PBE.

Lattice parameters (Å, degrees): 5.918 5.918 5.918 90.00 90.00 90.00
Space group Pm-3m (No. 221)
Asymmetric unit:
Rb: 0.000 0.000 0.000 [1 per cell]
C: 0.000 0.000 0.500 [3 per cell]
F: 0.500 0.500 0.500 [1 per cell]

Density of states at the Fermi level = 5.328 states/eV/atom

Most stable to least stable, the ends of the list are P and Q.

--- P ---
Re2CF: relaxed, GGA-PBE.

Lattice parameters (Å, degrees): 5.569 5.569 5.569 90.00 90.00 90.00
Space group Fm-3m (No. 225)
Asymmetric unit:
Re: 0.250 0.250 0.250 [8 per cell]
C: 0.000 0.000 0.000 [4 per cell]
F: 0.000 0.000 0.500 [4 per cell]

Density of states at the Fermi level = 0.590 states/eV/atom

--- Q ---
Re2CF: relaxed, GGA-PBE.

Lattice parameters (Å, degrees): 4.123 4.123 12.666 90.00 90.00 90.00
Space group I-42d (No. 122)
Asymmetric unit:
Re: 0.177 0.250 0.125 [8 per cell]
C: 0.000 0.000 0.000 [4 per cell]
F: 0.000 0.000 0.500 [4 per cell]

Density of states at the Fermi level = 0.799 states/eV/atom

Most stable to least stable, the ends of the list are Q and P.

--- P ---
RhCF2: relaxed, GGA-PBE.

Lattice parameters (Å, degrees): 2.6330 2.6330 22.2716 90.00 90.00 120.00
Space group R-3m (No. 166, hexagonal axes)
Asymmetric unit:
Rh: 0.0000 0.0000 0.0000 [3 per cell]
C: 0.0000 0.0000 0.5000 [3 per cell]
F: 0.0000 0.0000 0.0886 [6 per cell]

Density of states at the Fermi level = 0.848 states/eV/atom

--- Q ---
RhCF2: relaxed, GGA-PBE.

Lattice parameters (Å, degrees): 5.571 5.571 5.571 90.00 90.00 90.00
Space group Fm-3m (No. 225)
Asymmetric unit:
Rh: 0.000 0.000 0.000 [4 per cell]
C: 0.000 0.000 0.500 [4 per cell]
F: 0.250 0.250 0.250 [8 per cell]

Density of states at the Fermi level = 0.698 states/eV/atom

Most stable to least stable, the ends of the list are P and Q.

--- P ---
Rh2CF: relaxed, GGA-PBE.

Lattice parameters (Å, degrees): 4.910 4.910 9.304 90.00 90.00 90.00
Space group I-42d (No. 122)
Asymmetric unit:
Rh: 0.183 0.250 0.125 [8 per cell]
C: 0.000 0.000 0.000 [4 per cell]
F: 0.000 0.000 0.500 [4 per cell]

Density of states at the Fermi level = 0.804 states/eV/atom

--- Q ---
Rh2CF: relaxed, GGA-PBE.

Lattice parameters (Å, degrees): 5.524 5.524 5.524 90.00 90.00 90.00
Space group Fm-3m (No. 225)
Asymmetric unit:
Rh: 0.250 0.250 0.250 [8 per cell]
C: 0.000 0.000 0.000 [4 per cell]
F: 0.000 0.000 0.500 [4 per cell]

Density of states at the Fermi level = 0.804 states/eV/atom

Most stable to least stable, the ends of the list are P and Q.

--- P ---
RhCF3: relaxed, GGA-PBE.

Lattice parameters (Å, degrees): 4.099 4.099 4.099 90.00 90.00 90.00
Space group Pm-3m (No. 221)
Asymmetric unit:
Rh: 0.000 0.000 0.000 [1 per cell]
C: 0.500 0.500 0.500 [1 per cell]
F: 0.000 0.000 0.500 [3 per cell]

Density of states at the Fermi level = 1.843 states/eV/atom

--- Q ---
RhCF3: relaxed, GGA-PBE.

Lattice parameters (Å, degrees): 3.882 3.882 3.882 90.00 90.00 90.00
Space group Pm-3m (No. 221)
Asymmetric unit:
Rh: 0.000 0.000 0.000 [1 per cell]
C: 0.500 0.500 0.500 [1 per cell]
F: 0.000 0.500 0.500 [3 per cell]

Density of states at the Fermi level = 2.484 states/eV/atom

Most stable to least stable, the ends of the list are P and Q.

--- P ---
RuCF2: relaxed, GGA-PBE.

Lattice parameters (Å, degrees): 3.180 3.180 15.485 90.00 90.00 90.00
Space group I-42d (No. 122)
Asymmetric unit:
Ru: 0.000 0.000 0.000 [4 per cell]
C: 0.000 0.000 0.500 [4 per cell]
F: 0.241 0.250 0.125 [8 per cell]

Density of states at the Fermi level = 0.584 states/eV/atom

--- Q ---
RuCF2: relaxed, GGA-PBE.

Lattice parameters (Å, degrees): 2.5983 2.5983 23.1405 90.00 90.00 120.00
Space group R-3m (No. 166, hexagonal axes)
Asymmetric unit:
Ru: 0.0000 0.0000 0.0000 [3 per cell]
C: 0.0000 0.0000 0.5000 [3 per cell]
F: 0.0000 0.0000 0.0838 [6 per cell]

Density of states at the Fermi level = 0.834 states/eV/atom

Most stable to least stable, the ends of the list are P and Q.